Here is a geometry-optimized Nb2ZnBi structure from Alexandria. Energies are from GGA-PBE.

abc: 10.6937 10.6937 10.6937
angles: 158.32 158.32 30.85
Last column: nearest neighbours and their distance in Å.
Sites, in units of the cell vectors:
Nb 0.1124 0.6250 0.9874  4 Nb 2.77-2.92, 2 Zn 2.93, 2 Bi 2.96
Nb 0.3750 0.3624 0.4874  4 Nb 2.77-2.92, 2 Zn 2.93, 2 Bi 2.96
Nb 0.6376 0.1250 0.0126  4 Nb 2.77-2.92, 2 Zn 2.93, 2 Bi 2.96
Nb 0.8750 0.8876 0.5126  4 Nb 2.77-2.92, 2 Zn 2.93, 2 Bi 2.96
Zn 0.0000 0.0000 0.0000  4 Bi 2.84, 4 Nb 2.93
Zn 0.7500 0.2500 0.5000  4 Bi 2.84, 4 Nb 2.93
Bi 0.2500 0.7500 0.5000  4 Zn 2.84, 4 Nb 2.96
Bi 0.5000 0.5000 0.0000  4 Zn 2.84, 4 Nb 2.96

Results
N(E_F) = 8.485 states/eV per cell
SG = I-42d
volume = 166.8 Å³/cell
energy relative to the elements = 477.6 meV per atom
polymorph energy (0 for the lowest one) = 101 meV/atom